A relaxed Na3Ni2OsO6 crystal, computed with PBE with a Hubbard U.

## Properties
DFT total energy = -5.471 eV/atom

Cell: 5.341 5.341 5.644 Å, 99.12 99.12 119.98°
Last column: magnetic moment on the atom in μB.
Fractional positions:
O 0.932 0.616 0.796  0.17
Na 0.500 0.500 0.500  0.01
Os 0.000 0.000 0.000  2.09
O 0.068 0.384 0.204  0.17
Na 0.828 0.172 0.500  0.01
Ni 0.666 0.334 0.000  1.78
O 0.616 0.932 0.796  0.17
O 0.753 0.753 0.204  0.17
Na 0.172 0.828 0.500  0.01
Ni 0.334 0.666 0.000  1.78
O 0.247 0.247 0.796  0.17
O 0.384 0.068 0.204  0.17